1.
VASP calculation (meta-GGA SCAN) on a PBEsol-optimized structure of Ca2NiRu.

For the formation energy, the calculation gives 0.557 eV/atom.

The structure belongs to space group R-3m (No. 166, hexagonal axes); the cell edges are 3.2013, 3.2013 and 25.5857 Å and the angles 90.00°, 90.00° and 120.00°. The inequivalent atoms are Ca at (0.0000, 0.0000, 0.2495), Ni at (0.0000, 0.0000, 0.0000) and Ru at (0.0000, 0.0000, 0.5000).

2.
VASP calculation (meta-GGA SCAN) on a PBEsol-optimized structure of ZrMnTe2.

The uncorrected formation energy comes out at -2.5 eV per formula unit.

The structure belongs to space group Imm2 (No. 44); the cell edges are 3.717, 3.809 and 12.601 Å and the angles 90.00°, 90.00° and 90.00°. The inequivalent atoms are Zr at (0.000, 0.000, 0.000), Mn at (0.000, 0.500, 0.731), Te at (0.000, 0.000, 0.405) and Te at (0.000, 0.500, 0.169).

3.
VASP calculation (meta-GGA SCAN) on a PBEsol-optimized structure of LiFe2Cl.

The uncorrected formation energy comes out at -0.1 eV per formula unit.

The structure belongs to space group I4/mmm (No. 139); the cell edges are 3.310, 3.310 and 11.376 Å and the angles 90.00°, 90.00° and 90.00°. The inequivalent atoms are Li at (0.000, 0.000, 0.000), Fe at (0.000, 0.500, 0.250) and Cl at (0.000, 0.000, 0.500).

4.
VASP calculation (meta-GGA SCAN) on a PBEsol-optimized structure of KSiIr2.

The uncorrected formation energy comes out at 4.1 eV per formula unit.

The structure belongs to space group Pmmm (No. 47); the cell edges are 2.805, 4.653 and 4.962 Å and the angles 90.00°, 90.00° and 90.00°. The inequivalent atoms are K at (0.000, 0.000, 0.000), Si at (0.500, 0.000, 0.500), Ir at (0.000, 0.500, 0.500) and Ir at (0.500, 0.500, 0.000).

5.
VASP calculation (meta-GGA SCAN) on a PBEsol-optimized structure of SrCa2La.

For the formation energy, the calculation gives 0.122 eV/atom.

The structure belongs to space group F-43m (No. 216); the cell edges are 8.670, 8.670 and 8.670 Å and the angles 90.00°, 90.00° and 90.00°. The inequivalent atoms are Sr at (0.000, 0.000, 0.000), Ca at (0.000, 0.000, 0.500), Ca at (0.250, 0.250, 0.750) and La at (0.250, 0.250, 0.250).

6.
VASP calculation (meta-GGA SCAN) on a PBEsol-optimized structure of LiHgRu.

For the formation energy, the calculation gives 0.645 eV/atom.

The structure belongs to space group F-43m (No. 216); the cell edges are 6.121, 6.121 and 6.121 Å and the angles 90.00°, 90.00° and 90.00°. The inequivalent atoms are Li at (0.000, 0.000, 0.000), Hg at (0.250, 0.250, 0.250) and Ru at (0.000, 0.000, 0.500).

7.
VASP calculation (meta-GGA SCAN) on a PBEsol-optimized structure of TcAsPbSe2.

The uncorrected formation energy comes out at 6.7 eV per formula unit.

The structure belongs to space group P4/mmm (No. 123); the cell edges are 5.281, 5.281 and 5.277 Å and the angles 90.00°, 90.00° and 90.00°. The inequivalent atoms are Tc at (0.000, 0.000, 0.000), As at (0.500, 0.500, 0.000), Pb at (0.500, 0.500, 0.500) and Se at (0.000, 0.500, 0.500).

8.
VASP calculation (meta-GGA SCAN) on a PBEsol-optimized structure of ZrIn2Pt.

For the formation energy, the calculation gives -0.521 eV/atom.

The structure belongs to space group I-4m2 (No. 119); the cell edges are 4.239, 4.239 and 8.602 Å and the angles 90.00°, 90.00° and 90.00°. The inequivalent atoms are Zr at (0.000, 0.000, 0.000), In at (0.000, 0.000, 0.500), In at (0.000, 0.500, 0.250) and Pt at (0.000, 0.500, 0.750).

9.
VASP calculation (meta-GGA SCAN) on a PBEsol-optimized structure of SiTcAs2.

The uncorrected formation energy comes out at 1.4 eV per formula unit.

The structure belongs to space group Cmm2 (No. 35); the cell edges are 3.051, 4.749 and 8.987 Å and the angles 90.00°, 90.00° and 90.00°. The inequivalent atoms are Si at (0.000, 0.000, 0.000), Tc at (0.000, 0.500, 0.790), As at (0.000, 0.000, 0.565) and As at (0.000, 0.500, 0.245).

10.
VASP calculation (meta-GGA SCAN) on a PBEsol-optimized structure of NbAlCl8.

The uncorrected formation energy comes out at -14.9 eV per formula unit.

The structure belongs to space group Cmcm (No. 63); the cell edges are 8.097, 17.261 and 8.255 Å and the angles 90.00°, 90.00° and 90.00°. The inequivalent atoms are Nb at (0.000, 0.110, 0.250), Al at (0.000, 0.314, 0.250), Cl at (0.000, 0.132, 0.526), Cl at (0.000, 0.380, 0.035), Cl at (0.204, 0.229, 0.250) and Cl at (0.217, 0.029, 0.250).

11.
VASP calculation (meta-GGA SCAN) on a PBEsol-optimized structure of Zn3Ag.

For the formation energy, the calculation gives -0.016 eV/atom.

The structure belongs to space group P-6m2 (No. 187); the cell edges are 2.8207, 2.8207 and 8.5106 Å and the angles 90.00°, 90.00° and 120.00°. The inequivalent atoms are Zn at (0.0000, 0.0000, 0.0000), Zn at (0.6667, 0.3333, 0.2436) and Ag at (0.0000, 0.0000, 0.5000).

12.
VASP calculation (meta-GGA SCAN) on a PBEsol-optimized structure of Tb2Al6Si4Au.

The uncorrected formation energy comes out at -6.2 eV per formula unit.

The structure belongs to space group R-3m (No. 166, hexagonal axes); the cell edges are 4.1750, 4.1750 and 49.8681 Å and the angles 90.00°, 90.00° and 120.00°. The inequivalent atoms are Tb at (0.0000, 0.0000, 0.0656), Al at (0.0000, 0.0000, 0.1831), Al at (0.0000, 0.0000, 0.3145), Al at (0.0000, 0.0000, 0.4478), Si at (0.0000, 0.0000, 0.2345), Si at (0.0000, 0.0000, 0.3651) and Au at (0.0000, 0.0000, 0.5000).

13.
VASP calculation (meta-GGA SCAN) on a PBEsol-optimized structure of Zr2ScTe.

The uncorrected formation energy comes out at -1.5 eV per formula unit.

The structure belongs to space group Immm (No. 71); the cell edges are 3.958, 4.508 and 9.657 Å and the angles 90.00°, 90.00° and 90.00°. The inequivalent atoms are Zr at (0.000, 0.000, 0.246), Sc at (0.000, 0.500, 0.000) and Te at (0.000, 0.500, 0.500).

14.
VASP calculation (meta-GGA SCAN) on a PBEsol-optimized structure of LiCu2Ni.

For the formation energy, the calculation gives 0.042 eV/atom.

The structure belongs to space group Fm-3m (No. 225); the cell edges are 5.603, 5.603 and 5.603 Å and the angles 90.00°, 90.00° and 90.00°. The inequivalent atoms are Li at (0.000, 0.000, 0.000), Cu at (0.250, 0.250, 0.250) and Ni at (0.000, 0.000, 0.500).

15.
VASP calculation (meta-GGA SCAN) on a PBEsol-optimized structure of MgTa2P.

For the formation energy, the calculation gives 0.306 eV/atom.

The structure belongs to space group F-43m (No. 216); the cell edges are 6.359, 6.359 and 6.359 Å and the angles 90.00°, 90.00° and 90.00°. The inequivalent atoms are Mg at (0.000, 0.000, 0.000), Ta at (0.000, 0.000, 0.500), Ta at (0.250, 0.250, 0.250) and P at (0.250, 0.250, 0.750).

16.
VASP calculation (meta-GGA SCAN) on a PBEsol-optimized structure of SbP4O12.

The uncorrected formation energy comes out at -35.3 eV per formula unit.

The structure belongs to space group C2/c (No. 15); the cell edges are 12.305, 8.419 and 10.407 Å and the angles 90.00°, 121.65° and 90.00°. The inequivalent atoms are Sb at (0.000, 0.057, 0.250), P at (0.003, 0.268, 0.974), P at (0.206, 0.494, 0.181), O at (0.022, 0.241, 0.399), O at (0.034, 0.126, 0.912), O at (0.110, 0.364, 0.660), O at (0.119, 0.387, 0.031), O at (0.198, 0.068, 0.353) and O at (0.250, 0.087, 0.676).

17.
VASP calculation (meta-GGA SCAN) on a PBEsol-optimized structure of Nb2MoHBr.

The calculated total energy is -22.64 eV per atom.

The structure belongs to space group P4/mmm (No. 123); the cell edges are 4.725, 4.725 and 4.520 Å and the angles 90.00°, 90.00° and 90.00°. The inequivalent atoms are Nb at (0.000, 0.500, 0.000), Mo at (0.000, 0.000, 0.500), H at (0.500, 0.500, 0.500) and Br at (0.000, 0.000, 0.000).

18.
VASP calculation (meta-GGA SCAN) on a PBEsol-optimized structure of Zn3InGaO6.

The uncorrected formation energy comes out at -19.4 eV per formula unit.

The structure belongs to space group R3m (No. 160, hexagonal axes); the cell edges are 3.2926, 3.2926 and 41.4618 Å and the angles 90.00°, 90.00° and 120.00°. The inequivalent atoms are Zn at (0.0000, 0.0000, 0.0000), Zn at (0.0000, 0.0000, 0.1244), Zn at (0.0000, 0.0000, 0.6046), In at (0.0000, 0.0000, 0.8645), Ga at (0.0000, 0.0000, 0.7288), O at (0.0000, 0.0000, 0.0619), O at (0.0000, 0.0000, 0.1715), O at (0.0000, 0.0000, 0.5572), O at (0.0000, 0.0000, 0.6811), O at (0.0000, 0.0000, 0.7763) and O at (0.0000, 0.0000, 0.9524).

19.
VASP calculation (meta-GGA SCAN) on a PBEsol-optimized structure of SrTa2W.

For the formation energy, the calculation gives 0.715 eV/atom.

The structure belongs to space group Cmm2 (No. 35); the cell edges are 3.330, 4.672 and 10.191 Å and the angles 90.00°, 90.00° and 90.00°. The inequivalent atoms are Sr at (0.000, 0.000, 0.000), Ta at (0.000, 0.000, 0.480), Ta at (0.000, 0.500, 0.703) and W at (0.000, 0.500, 0.270).

20.
VASP calculation (meta-GGA SCAN) on a PBEsol-optimized structure of Ge2N2O.

The uncorrected formation energy comes out at -3.1 eV per formula unit.

The structure belongs to space group Cmc2_1 (No. 36); the cell edges are 3.067, 17.694 and 4.844 Å and the angles 90.00°, 90.00° and 90.00°. The inequivalent atoms are Ge at (0.000, 0.057, 0.000), Ge at (0.000, 0.291, 0.313), N at (0.000, 0.228, 0.620), N at (0.000, 0.390, 0.424) and O at (0.000, 0.034, 0.356).

21.
VASP calculation (meta-GGA SCAN) on a PBEsol-optimized structure of Hf3IrS.

The uncorrected formation energy comes out at -2.0 eV per formula unit.

The structure belongs to space group Pm-3m (No. 221); the cell edges are 4.593, 4.593 and 4.593 Å and the angles 90.00°, 90.00° and 90.00°. The inequivalent atoms are Hf at (0.000, 0.000, 0.500), Ir at (0.500, 0.500, 0.500) and S at (0.000, 0.000, 0.000).

22.
VASP calculation (meta-GGA SCAN) on a PBEsol-optimized structure of Tc2MoPb.

For the formation energy, the calculation gives 0.559 eV/atom.

The structure belongs to space group I-4m2 (No. 119); the cell edges are 3.828, 3.828 and 8.785 Å and the angles 90.00°, 90.00° and 90.00°. The inequivalent atoms are Tc at (0.000, 0.000, 0.000), Tc at (0.000, 0.500, 0.250), Mo at (0.000, 0.000, 0.500) and Pb at (0.000, 0.500, 0.750).

23.
VASP calculation (meta-GGA SCAN) on a PBEsol-optimized structure of KYZr2Ga.

For the formation energy, the calculation gives 1.472 eV/atom.

The structure belongs to space group P4/mmm (No. 123); the cell edges are 5.214, 5.214 and 5.383 Å and the angles 90.00°, 90.00° and 90.00°. The inequivalent atoms are K at (0.000, 0.000, 0.000), Y at (0.000, 0.000, 0.500), Zr at (0.000, 0.500, 0.500) and Ga at (0.500, 0.500, 0.000).

24.
VASP calculation (meta-GGA SCAN) on a PBEsol-optimized structure of Be3Os.

For the formation energy, the calculation gives -0.403 eV/atom.

The structure belongs to space group Pmmn (No. 59, origin choice 2); the cell edges are 3.738, 4.501 and 4.382 Å and the angles 90.00°, 90.00° and 90.00°. The inequivalent atoms are Be at (0.250, 0.004, 0.142), Be at (0.250, 0.750, 0.701) and Os at (0.250, 0.250, 0.622).

25.
VASP calculation (meta-GGA SCAN) on a PBEsol-optimized structure of TlAs2HPb.

The calculated total energy is -37.95 eV per atom.

The structure belongs to space group P4/mmm (No. 123); the cell edges are 4.393, 4.393 and 5.124 Å and the angles 90.00°, 90.00° and 90.00°. The inequivalent atoms are Tl at (0.000, 0.000, 0.000), As at (0.000, 0.500, 0.500), H at (0.000, 0.000, 0.500) and Pb at (0.500, 0.500, 0.000).

26.
VASP calculation (meta-GGA SCAN) on a PBEsol-optimized structure of K2Cd2In.

For the formation energy, the calculation gives -0.096 eV/atom.

The structure belongs to space group P4/mbm (No. 127); the cell edges are 7.568, 7.568 and 5.703 Å and the angles 90.00°, 90.00° and 90.00°. The inequivalent atoms are K at (0.179, 0.321, 0.000), Cd at (0.135, 0.635, 0.500) and In at (0.000, 0.000, 0.500).